Entry 1:
The following is a GGA-PBE calculation of a geometry-optimized Ca2NiRuPt structure, from Alexandria.

Lattice parameters (Å, degrees): 5.3890 4.7587 5.3890 90.00 90.00 90.00
Element x y z (fractional)
1 Ni 0.5000 0.5000 0.5000
2 Pt 0.0000 0.0000 0.0000
3 Ca 0.5000 0.0000 0.0000
4 Ca 0.0000 0.0000 0.5000
5 Ru 0.0000 0.5000 0.0000

Summary:
- DOS at the Fermi energy (states/eV per cell) = 5.5
- ΔE_f (eV per formula unit) = 3.0
- magnetization (μB/f.u.) = 0.50
- symmetry = No. 123

Entry 2:
The following is a GGA-PBE calculation of a geometry-optimized Ca2NiSb3Pt4 structure, from Alexandria.

Lattice parameters (Å, degrees): 4.4591 4.4591 10.8099 90.00 90.00 90.00
Element x y z (fractional)
1 Pt 0.5000 0.5000 0.0000
2 Pt 0.0000 0.0000 0.0000
3 Sb 0.5000 0.0000 0.8641
4 Ca 0.5000 0.0000 0.2610
5 Sb 0.0000 0.0000 0.5000
6 Sb 0.0000 0.5000 0.1359
7 Pt 0.0000 0.5000 0.3733
8 Ca 0.0000 0.5000 0.7390
9 Pt 0.5000 0.0000 0.6267
10 Ni 0.5000 0.5000 0.5000

Summary:
- DOS at the Fermi energy (states/eV per cell) = 8.1
- calculated total energy (eV per formula unit) = -52.68
- magnetization (μB/f.u.) = 0.01
- symmetry = No. 115

Entry 3:
The following is a GGA-PBE calculation of a geometry-optimized CaScNiPt structure, from Alexandria.

Lattice parameters (Å, degrees): 4.7179 4.7179 4.7179 60.00 60.00 60.00
Element x y z (fractional)
1 Pt 0.7500 0.7500 0.7500
2 Sc 0.5000 0.5000 0.5000
3 Ca 0.0000 0.0000 0.0000
4 Ni 0.2500 0.2500 0.2500

Summary:
- DOS at the Fermi energy (states/eV per cell) = 2.9
- ΔE_f (eV per formula unit) = -2.4
- magnetization (μB/f.u.) = 0.00
- symmetry = No. 216

Entry 4:
The following is a GGA-PBE calculation of a geometry-optimized Ca2Si4NiPt3 structure, from Alexandria.

Lattice parameters (Å, degrees): 4.1437 4.1437 10.0389 90.00 90.00 90.00
Element x y z (fractional)
1 Ca 0.0000 0.5000 0.7485
2 Pt 0.0000 0.0000 0.5000
3 Ca 0.5000 0.0000 0.2515
4 Si 0.0000 0.0000 0.0000
5 Si 0.5000 0.0000 0.6249
6 Ni 0.5000 0.5000 0.5000
7 Si 0.5000 0.5000 0.0000
8 Si 0.0000 0.5000 0.3751
9 Pt 0.5000 0.0000 0.8694
10 Pt 0.0000 0.5000 0.1306

Summary:
- DOS at the Fermi energy (states/eV per cell) = 4.3
- calculated total energy (eV per formula unit) = -58.43
- magnetization (μB/f.u.) = 0.00
- symmetry = No. 115

Entry 5:
The following is a GGA-PBE calculation of a geometry-optimized Ca2Si3NiPt12 structure, from Alexandria.

Lattice parameters (Å, degrees): 7.6785 7.6785 7.6785 64.01 64.01 64.01
Element x y z (fractional)
1 Pt 0.8961 0.3577 0.3577
2 Si 0.5000 0.0000 0.0000
3 Pt 0.1259 0.6295 0.1259
4 Pt 0.8741 0.3705 0.8741
5 Ca 0.3864 0.3864 0.3864
6 Si 0.0000 0.0000 0.5000
7 Si 0.0000 0.5000 0.0000
8 Pt 0.6423 0.6423 0.1039
9 Pt 0.1259 0.1259 0.6295
10 Pt 0.3705 0.8741 0.8741
11 Pt 0.3577 0.3577 0.8961
12 Pt 0.6295 0.1259 0.1259
13 Ni 0.0000 0.0000 0.0000
14 Pt 0.1039 0.6423 0.6423
15 Pt 0.6423 0.1039 0.6423
16 Pt 0.3577 0.8961 0.3577
17 Ca 0.6136 0.6136 0.6136
18 Pt 0.8741 0.8741 0.3705

Summary:
- DOS at the Fermi energy (states/eV per cell) = 10.5
- calculated total energy (eV per formula unit) = -105.01
- magnetization (μB/f.u.) = 0.49
- symmetry = No. 166

Entry 6:
The following is a GGA-PBE calculation of a geometry-optimized Ca2Si4Ni3Pt structure, from Alexandria.

Lattice parameters (Å, degrees): 3.9884 3.9884 9.9033 90.00 90.00 90.00
Element x y z (fractional)
1 Si 0.0000 0.5000 0.3620
2 Ni 0.0000 0.5000 0.1250
3 Si 0.5000 0.0000 0.6380
4 Ni 0.5000 0.0000 0.8750
5 Pt 0.5000 0.5000 0.5000
6 Ca 0.5000 0.0000 0.2415
7 Ca 0.0000 0.5000 0.7585
8 Si 0.0000 0.0000 0.0000
9 Si 0.5000 0.5000 0.0000
10 Ni 0.0000 0.0000 0.5000

Summary:
- DOS at the Fermi energy (states/eV per cell) = 4.6
- calculated total energy (eV per formula unit) = -56.21
- magnetization (μB/f.u.) = 0.00
- symmetry = No. 115

Entry 7:
The following is a GGA-PBE calculation of a geometry-optimized CaSi2NiPt structure, from Alexandria.

Lattice parameters (Å, degrees): 4.0997 4.0997 5.7347 110.94 110.94 90.00
Element x y z (fractional)
1 Si 0.3761 0.3761 0.7522
2 Ca 0.0000 0.0000 0.0000
3 Si 0.6239 0.6239 0.2478
4 Pt 0.2500 0.7500 0.5000
5 Ni 0.7500 0.2500 0.5000

Summary:
- DOS at the Fermi energy (states/eV per cell) = 1.9
- calculated total energy (eV per formula unit) = -28.63
- magnetization (μB/f.u.) = 0.00
- symmetry = No. 119

Entry 8:
The following is a GGA-PBE calculation of a geometry-optimized CaSiNi2Pt structure, from Alexandria.

Lattice parameters (Å, degrees): 4.3542 4.6204 4.3542 90.00 90.00 90.00
Element x y z (fractional)
1 Ni 0.0000 0.0000 0.5000
2 Ni 0.5000 0.0000 0.0000
3 Ca 0.5000 0.5000 0.5000
4 Pt 0.0000 0.5000 0.0000
5 Si 0.0000 0.0000 0.0000

Summary:
- DOS at the Fermi energy (states/eV per cell) = 2.5
- calculated total energy (eV per formula unit) = -26.53
- magnetization (μB/f.u.) = 0.00
- symmetry = No. 123

Entry 9:
The following is a GGA-PBE calculation of a geometry-optimized Ca2NiSn4Pt3 structure, from Alexandria.

Lattice parameters (Å, degrees): 4.5271 4.5271 10.9520 90.00 90.00 90.00
Element x y z (fractional)
1 Ni 0.5000 0.5000 0.5000
2 Sn 0.0000 0.0000 0.0000
3 Sn 0.5000 0.5000 0.0000
4 Ca 0.0000 0.5000 0.7396
5 Ca 0.5000 0.0000 0.2604
6 Pt 0.5000 0.0000 0.8628
7 Sn 0.0000 0.5000 0.3780
8 Pt 0.0000 0.0000 0.5000
9 Sn 0.5000 0.0000 0.6220
10 Pt 0.0000 0.5000 0.1372

Summary:
- DOS at the Fermi energy (states/eV per cell) = 5.2
- ΔE_f (eV per formula unit) = -6.6
- magnetization (μB/f.u.) = 0.00
- symmetry = No. 115

Entry 10:
The following is a GGA-PBE calculation of a geometry-optimized Ca2Ni3Sn4Pt structure, from Alexandria.

Lattice parameters (Å, degrees): 4.4241 4.4241 10.6424 90.00 90.00 90.00
Element x y z (fractional)
1 Sn 0.5000 0.5000 0.0000
2 Pt 0.5000 0.5000 0.5000
3 Ni 0.0000 0.0000 0.5000
4 Sn 0.5000 0.0000 0.6356
5 Sn 0.0000 0.5000 0.3644
6 Ca 0.0000 0.5000 0.7459
7 Sn 0.0000 0.0000 0.0000
8 Ni 0.0000 0.5000 0.1284
9 Ca 0.5000 0.0000 0.2541
10 Ni 0.5000 0.0000 0.8716

Summary:
- DOS at the Fermi energy (states/eV per cell) = 5.1
- ΔE_f (eV per formula unit) = -4.8
- magnetization (μB/f.u.) = 0.00
- symmetry = No. 115

Entry 11:
The following is a GGA-PBE calculation of a geometry-optimized CaNiSn2Pt4 structure, from Alexandria.

Lattice parameters (Å, degrees): 4.5156 4.5156 8.8125 75.15 75.15 60.00
Element x y z (fractional)
1 Pt 0.4001 0.4001 0.7998
2 Sn 0.2436 0.2436 0.2693
3 Sn 0.7564 0.7564 0.7307
4 Pt 0.8662 0.8662 0.4013
5 Ca 0.0000 0.0000 0.0000
6 Pt 0.1338 0.1338 0.5987
7 Pt 0.5999 0.5999 0.2002
8 Ni 0.5000 0.5000 0.5000

Summary:
- DOS at the Fermi energy (states/eV per cell) = 3.3
- ΔE_f (eV per formula unit) = -3.9
- magnetization (μB/f.u.) = 0.00
- symmetry = No. 166

Entry 12:
The following is a GGA-PBE calculation of a geometry-optimized CaYNiPt structure, from Alexandria.

Lattice parameters (Å, degrees): 4.8753 4.8753 4.8753 60.00 60.00 60.00
Element x y z (fractional)
1 Ca 0.5000 0.5000 0.5000
2 Y 0.0000 0.0000 0.0000
3 Ni 0.2500 0.2500 0.2500
4 Pt 0.7500 0.7500 0.7500

Summary:
- DOS at the Fermi energy (states/eV per cell) = 2.9
- ΔE_f (eV per formula unit) = -2.5
- magnetization (μB/f.u.) = 0.00
- symmetry = No. 216